[1]
5
Lattice="-3.828 -0.485 -1.993 0.631 -5.266 0.070 -1.985 -0.187 3.858" Properties=species:S:1:pos:R:3 comment="Mn2TePPd (PBE-GGA, optimized geometry)" sg="P4/mmm (123)" formation_energy_uncorrected_ev_per_atom=0.436 pbc="T T T"
Mn -0.992 -0.093 1.929
Mn -1.914 -0.243 -0.996
Te 0.316 -2.633 0.035
Pd -2.591 -2.969 0.967
P 0.000 0.000 0.000

[2]
4
Lattice="4.356 0.000 0.000 0.000 4.356 0.000 0.000 0.000 2.858" Properties=species:S:1:pos:R:3 comment="Cu2MoRh (PBE-GGA, optimized geometry)" formation_energy_mev_per_atom=302 sg="P4/mmm (123)" pbc="T T T"
Cu 0.000 0.000 0.000
Cu 2.178 2.178 0.000
Mo 2.178 0.000 1.429
Rh 0.000 2.178 1.429

[3]
8
Lattice="5.416 0.000 0.000 0.000 5.416 0.000 2.708 2.708 6.288" Properties=species:S:1:pos:R:3 comment="KBPt2 (PBE-GGA, optimized geometry)" formation_energy_mev_per_atom=-95 sg="I4_1/amd (141)" pbc="T T T"
K 0.000 0.000 0.000
K 5.416 2.708 3.144
B 2.708 2.708 0.000
B 2.708 5.416 3.144
Pt 2.706 1.354 1.572
Pt 2.710 4.062 1.572
Pt 4.062 5.418 4.716
Pt 6.770 5.414 4.716

Summary of D(E_F) in states/eV per cell
3.01, 4.45, 0.04
(order as listed above)